[1]
CaTi3Cu: relaxed, PBE.

```
CaTi3Cu
1.0
-3.895 -1.740 2.176
2.713 -1.514 3.644
-0.636 4.197 2.217
Ca Ti Cu
1 3 1
direct
0.500 0.500 0.500 Ca
0.000 0.500 0.000 Ti
0.500 0.000 0.000 Ti
0.000 0.000 0.500 Ti
0.000 0.000 0.000 Cu
```

Values from the calculation:
The space-group type is Pm-3m. The offset from the most stable computed form is 0 meV/atom. The calculation puts the total magnetization at 1.14 μB/f.u.

---

[2]
Pm8Sm6Dy: relaxed, PBE.

```
Pm8Sm6Dy
1.0
-8.872 2.364 0.923
-5.385 0.712 -7.459
-6.486 -5.718 -1.571
Sm Pm Dy
6 8 1
direct
0.461 0.901 0.878 Sm
0.240 0.539 0.122 Sm
0.099 0.240 0.122 Sm
0.539 0.099 0.122 Sm
0.901 0.760 0.878 Sm
0.760 0.461 0.878 Sm
0.578 0.578 0.267 Pm
0.718 0.112 0.420 Pm
0.112 0.749 0.420 Pm
0.422 0.422 0.733 Pm
0.282 0.888 0.580 Pm
0.749 0.718 0.420 Pm
0.251 0.282 0.580 Pm
0.888 0.251 0.580 Pm
0.000 0.000 0.000 Dy
```

Values from the calculation:
The space-group type is R-3. The offset from the most stable computed form is 0 meV/atom. The calculation puts the total magnetization at 0.00 μB/f.u.

---

One value per record, in order, for energy: -26.7; -69.2 eV per cell.